Record 1
The following is a PBE calculation of a relaxed structure of Er2TmTa, from the Alexandria database.

Structure (CIF):
```
data_Er2TmTa
_chemical_formula_sum 'Er2 Tm1 Ta1'
_symmetry_space_group_name_H-M 'P 1'
_symmetry_Int_Tables_number 1
_symmetry_space_group_name_Hall 'P 1'
_cell_length_a 3.2407
_cell_length_b 3.2407
_cell_length_c 11.6893
_cell_angle_alpha 82.03
_cell_angle_beta 82.03
_cell_angle_gamma 60.00
loop_
_atom_site_label
_atom_site_type_symbol
_atom_site_fract_x
_atom_site_fract_y
_atom_site_fract_z
Er1 Er 0.0846 0.0846 0.7461
Tm1 Tm 0.5000 0.5000 0.5000
Ta1 Ta 0.0000 0.0000 0.0000
Er2 Er 0.9154 0.9154 0.2539
```

## Properties
As for the total energy: -5.791 eV per atom. For the energy of formation, the calculation gives 221 kJ/mol of formula units.

Record 2
The following is a PBE calculation of a relaxed structure of Cs2KSi2S6, from the Alexandria database.

Structure (CIF):
```
data_Cs2KSi2S6
_chemical_formula_sum 'Cs2 K1 Si2 S6'
_symmetry_space_group_name_H-M 'P 1'
_symmetry_Int_Tables_number 1
_symmetry_space_group_name_Hall 'P 1'
_cell_length_a 7.2766
_cell_length_b 7.2766
_cell_length_c 9.9420
_cell_angle_alpha 68.53
_cell_angle_beta 68.53
_cell_angle_gamma 60.00
loop_
_atom_site_label
_atom_site_type_symbol
_atom_site_fract_x
_atom_site_fract_y
_atom_site_fract_z
Si1 Si 0.5770 0.5770 0.2690
Si2 Si 0.4230 0.4230 0.7310
S1 S 0.7379 0.2528 0.2715
S2 S 0.2621 0.7472 0.7285
S3 S 0.7472 0.2621 0.7285
K1 K 0.0000 0.0000 0.0000
S4 S 0.7379 0.7379 0.2715
Cs1 Cs 0.7926 0.7926 0.6222
S5 S 0.2621 0.2621 0.7285
Cs2 Cs 0.2074 0.2074 0.3778
S6 S 0.2528 0.7379 0.2715
```

## Properties
As for the total energy: -4.349 eV per atom. The uncorrected formation energy comes out at -857 meV/atom.

Record 3
The following is a PBE calculation of a relaxed structure of CsNaPdF6, from the Alexandria database.

Structure (CIF):
```
data_CsNaPdF6
_chemical_formula_sum 'Cs1 Na1 Pd1 F6'
_symmetry_space_group_name_H-M 'P 1'
_symmetry_Int_Tables_number 1
_symmetry_space_group_name_Hall 'P 1'
_cell_length_a 5.8096
_cell_length_b 5.8097
_cell_length_c 6.3298
_cell_angle_alpha 90.06
_cell_angle_beta 89.94
_cell_angle_gamma 59.84
loop_
_atom_site_label
_atom_site_type_symbol
_atom_site_fract_x
_atom_site_fract_y
_atom_site_fract_z
Cs1 Cs 0.0000 0.0000 0.0000
F1 F 0.3447 0.0516 0.6764
F2 F 0.6032 0.3459 0.6765
F3 F 0.3459 0.6032 0.3235
Na1 Na 0.6662 0.6662 0.5000
F4 F 0.0494 0.6055 0.6754
Pd1 Pd 0.3334 0.3334 0.5000
F5 F 0.6055 0.0494 0.3245
F6 F 0.0516 0.3447 0.3236
```

## Properties
As for the total energy: -4.148 eV per atom. The uncorrected formation energy comes out at -2082 meV/atom.

Record 4
The following is a PBE calculation of a relaxed structure of KLiHg2Pd, from the Alexandria database.

Structure (CIF):
```
data_KLiHg2Pd
_chemical_formula_sum 'K1 Li1 Hg2 Pd1'
_symmetry_space_group_name_H-M 'P 1'
_symmetry_Int_Tables_number 1
_symmetry_space_group_name_Hall 'P 1'
_cell_length_a 5.3890
_cell_length_b 5.3890
_cell_length_c 4.8377
_cell_angle_alpha 90.00
_cell_angle_beta 90.00
_cell_angle_gamma 90.00
loop_
_atom_site_label
_atom_site_type_symbol
_atom_site_fract_x
_atom_site_fract_y
_atom_site_fract_z
Li1 Li 0.0000 0.0000 0.5000
Hg1 Hg 0.5000 0.0000 0.0000
Pd1 Pd 0.0000 0.0000 0.0000
Hg2 Hg 0.0000 0.5000 0.0000
K1 K 0.5000 0.5000 0.5000
```

## Properties
As for the total energy: -2.007 eV per atom. For the energy of formation, the calculation gives -119 kJ/mol of formula units.

Record 5
The following is a PBE calculation of a relaxed structure of PAuC, from the Alexandria database.

Structure (CIF):
```
data_PAuC
_chemical_formula_sum 'P2 Au2 C2'
_symmetry_space_group_name_H-M 'P 1'
_symmetry_Int_Tables_number 1
_symmetry_space_group_name_Hall 'P 1'
_cell_length_a 4.3749
_cell_length_b 3.5950
_cell_length_c 8.3543
_cell_angle_alpha 90.00
_cell_angle_beta 94.49
_cell_angle_gamma 90.00
loop_
_atom_site_label
_atom_site_type_symbol
_atom_site_fract_x
_atom_site_fract_y
_atom_site_fract_z
Au1 Au 0.7744 0.0000 0.4193
C1 C 0.0553 0.0000 0.9187
Au2 Au 0.7744 0.5000 0.9193
P1 P 0.4320 0.5000 0.4205
P2 P 0.4320 0.0000 0.9205
C2 C 0.0553 0.5000 0.4187
```

## Properties
As for the total energy: -5.054 eV per atom. The calculation puts the distance to the lowest polymorph of the same formula at 709.5 meV/atom. For the energy of formation, the calculation gives 265 kJ/mol of formula units.

Record 6
The following is a PBE calculation of a relaxed structure of Pr2HgI, from the Alexandria database.

Structure (CIF):
```
data_Pr2HgI
_chemical_formula_sum 'Pr2 Hg1 I1'
_symmetry_space_group_name_H-M 'P 1'
_symmetry_Int_Tables_number 1
_symmetry_space_group_name_Hall 'P 1'
_cell_length_a 3.7609
_cell_length_b 3.7609
_cell_length_c 8.5691
_cell_angle_alpha 90.00
_cell_angle_beta 90.00
_cell_angle_gamma 90.00
loop_
_atom_site_label
_atom_site_type_symbol
_atom_site_fract_x
_atom_site_fract_y
_atom_site_fract_z
Hg1 Hg 0.5000 0.5000 0.0000
I1 I 0.5000 0.5000 0.5000
Pr1 Pr 0.0000 0.0000 0.7674
Pr2 Pr 0.0000 0.0000 0.2326
```

## Properties
As for the total energy: -3.473 eV per atom. The uncorrected formation energy comes out at -621 meV/atom. The calculation puts the distance to the lowest polymorph of the same formula at 36.9 meV/atom.

Record 7
The following is a PBE calculation of a relaxed structure of TlSbSeS, from the Alexandria database.

Structure (CIF):
```
data_TlSbSeS
_chemical_formula_sum 'Tl1 Sb1 Se1 S1'
_symmetry_space_group_name_H-M 'P 1'
_symmetry_Int_Tables_number 1
_symmetry_space_group_name_Hall 'P 1'
_cell_length_a 4.0903
_cell_length_b 4.0908
_cell_length_c 8.1112
_cell_angle_alpha 90.00
_cell_angle_beta 104.62
_cell_angle_gamma 120.00
loop_
_atom_site_label
_atom_site_type_symbol
_atom_site_fract_x
_atom_site_fract_y
_atom_site_fract_z
Sb1 Sb 0.2969 0.5464 0.8586
S1 S 0.5048 0.1503 0.6707
Tl1 Tl 0.9645 0.3802 0.3598
Se1 Se 0.1118 0.9538 0.0806
```

## Properties
As for the total energy: -3.845 eV per atom. The uncorrected formation energy comes out at -320 meV/atom.

Record 8
The following is a PBE calculation of a relaxed structure of TiBe3Tl, from the Alexandria database.

Structure (CIF):
```
data_TiBe3Tl
_chemical_formula_sum 'Ti1 Be3 Tl1'
_symmetry_space_group_name_H-M 'P 1'
_symmetry_Int_Tables_number 1
_symmetry_space_group_name_Hall 'P 1'
_cell_length_a 4.6002
_cell_length_b 4.6002
_cell_length_c 4.6002
_cell_angle_alpha 90.00
_cell_angle_beta 90.00
_cell_angle_gamma 90.00
loop_
_atom_site_label
_atom_site_type_symbol
_atom_site_fract_x
_atom_site_fract_y
_atom_site_fract_z
Be1 Be 0.5000 0.0000 0.0000
Ti1 Ti 0.0000 0.0000 0.0000
Tl1 Tl 0.5000 0.5000 0.5000
Be2 Be 0.0000 0.5000 0.0000
Be3 Be 0.0000 0.0000 0.5000
```

## Properties
As for the total energy: -2.834 eV per atom. The calculation puts the distance to the lowest polymorph of the same formula at 138.2 meV/atom. For the energy of formation, the calculation gives 701 kJ/mol of formula units.

Record 9
The following is a PBE calculation of a relaxed structure of La4Tb3Y4, from the Alexandria database.

Structure (CIF):
```
data_La4Tb3Y4
_chemical_formula_sum 'La4 Tb3 Y4'
_symmetry_space_group_name_H-M 'P 1'
_symmetry_Int_Tables_number 1
_symmetry_space_group_name_Hall 'P 1'
_cell_length_a 3.6149
_cell_length_b 9.4779
_cell_length_c 12.3299
_cell_angle_alpha 112.60
_cell_angle_beta 98.43
_cell_angle_gamma 90.00
loop_
_atom_site_label
_atom_site_type_symbol
_atom_site_fract_x
_atom_site_fract_y
_atom_site_fract_z
La1 La 0.6439 0.8128 0.2878
Y1 Y 0.5000 0.8166 0.0000
Y2 Y 0.2638 0.7638 0.5276
Y3 Y 0.5000 0.1834 0.0000
Tb1 Tb 0.1057 0.1057 0.2114
Y4 Y 0.7362 0.2362 0.4724
Tb2 Tb 0.0000 0.5000 0.0000
La2 La 0.3561 0.1872 0.7122
La3 La 0.6439 0.4750 0.2878
La4 La 0.3561 0.5250 0.7122
Tb3 Tb 0.8943 0.8943 0.7886
```

## Properties
As for the total energy: -5.281 eV per atom. The calculation puts the distance to the lowest polymorph of the same formula at 0.0 meV/atom. For the energy of formation, the calculation gives 132 kJ/mol of formula units.

Record 10
The following is a PBE calculation of a relaxed structure of AgPt2, from the Alexandria database.

Structure (CIF):
```
data_AgPt2
_chemical_formula_sum 'Ag4 Pt8'
_symmetry_space_group_name_H-M 'P 1'
_symmetry_Int_Tables_number 1
_symmetry_space_group_name_Hall 'P 1'
_cell_length_a 2.7896
_cell_length_b 8.0446
_cell_length_c 8.6549
_cell_angle_alpha 90.00
_cell_angle_beta 90.00
_cell_angle_gamma 90.00
loop_
_atom_site_label
_atom_site_type_symbol
_atom_site_fract_x
_atom_site_fract_y
_atom_site_fract_z
Pt1 Pt 0.0000 0.4934 0.6634
Pt2 Pt 0.5000 0.2566 0.1634
Ag1 Ag 0.0000 0.9979 0.9962
Ag2 Ag 0.0000 0.4979 0.3371
Ag3 Ag 0.5000 0.2521 0.8371
Pt3 Pt 0.0000 0.9934 0.6699
Pt4 Pt 0.5000 0.2411 0.5056
Pt5 Pt 0.0000 0.5089 0.0056
Pt6 Pt 0.5000 0.7411 0.8277
Ag4 Ag 0.5000 0.7521 0.4962
Pt7 Pt 0.5000 0.7566 0.1699
Pt8 Pt 0.0000 0.0089 0.3277
```

## Properties
As for the total energy: -4.985 eV per atom. The calculation puts the distance to the lowest polymorph of the same formula at 0.0 meV/atom. For the energy of formation, the calculation gives -2 kJ/mol of formula units.

Record 11
The following is a PBE calculation of a relaxed structure of HfAg3Te, from the Alexandria database.

Structure (CIF):
```
data_HfAg3Te
_chemical_formula_sum 'Hf1 Ag3 Te1'
_symmetry_space_group_name_H-M 'P 1'
_symmetry_Int_Tables_number 1
_symmetry_space_group_name_Hall 'P 1'
_cell_length_a 5.2645
_cell_length_b 5.2645
_cell_length_c 5.2645
_cell_angle_alpha 90.00
_cell_angle_beta 90.00
_cell_angle_gamma 90.00
loop_
_atom_site_label
_atom_site_type_symbol
_atom_site_fract_x
_atom_site_fract_y
_atom_site_fract_z
Te1 Te 0.5000 0.5000 0.5000
Ag1 Ag 0.5000 0.0000 0.0000
Ag2 Ag 0.0000 0.5000 0.0000
Ag3 Ag 0.0000 0.0000 0.5000
Hf1 Hf 0.0000 0.0000 0.0000
```

## Properties
As for the total energy: -3.221 eV per atom. The uncorrected formation energy comes out at 1109 meV/atom. The calculation puts the distance to the lowest polymorph of the same formula at 50.4 meV/atom.

Record 12
The following is a PBE calculation of a relaxed structure of Y4HoAg, from the Alexandria database.

Structure (CIF):
```
data_Y4HoAg
_chemical_formula_sum 'Y8 Ho2 Ag2'
_symmetry_space_group_name_H-M 'P 1'
_symmetry_Int_Tables_number 1
_symmetry_space_group_name_Hall 'P 1'
_cell_length_a 5.4532
_cell_length_b 6.4445
_cell_length_c 10.7508
_cell_angle_alpha 90.00
_cell_angle_beta 104.69
_cell_angle_gamma 90.00
loop_
_atom_site_label
_atom_site_type_symbol
_atom_site_fract_x
_atom_site_fract_y
_atom_site_fract_z
Y1 Y 0.6776 0.5746 0.3552
Y2 Y 0.0656 0.7128 0.1313
Ho1 Ho 0.8650 0.7129 0.7300
Y3 Y 0.9344 0.2128 0.8687
Y4 Y 0.3224 0.0746 0.6448
Ho2 Ho 0.1350 0.2129 0.2700
Y5 Y 0.4643 0.8766 0.9286
Y6 Y 0.2563 0.5875 0.5127
Y7 Y 0.5357 0.3766 0.0714
Ag1 Ag 0.6029 0.9689 0.2058
Ag2 Ag 0.3971 0.4689 0.7942
Y8 Y 0.7437 0.0875 0.4873
```

## Properties
As for the total energy: -5.504 eV per atom. The calculation puts the distance to the lowest polymorph of the same formula at 124.6 meV/atom. For the energy of formation, the calculation gives 25 kJ/mol of formula units.